No. 1
RbCr2Pd: optimized geometry, GGA-PBE.

* density of states at the Fermi level: 5.99 states/eV per cell
* E_form: 1026 meV per atom
* calculated density: 3.538 g/cm3
* total magnetic moment: 18.7 Bohr magnetons per cell
* uncorrected energy: -5.33 eV/atom

The structure in POSCAR format:
```
RbCr2Pd
1.0
5.721 0.000 0.000
0.000 5.721 0.000
2.860 2.860 8.487
Pd Cr Rb
2 4 2
Direct
0.750 0.250 0.500
0.000 0.000 0.000
0.873 0.625 0.250
0.877 0.125 0.250
0.875 0.127 0.750
0.375 0.123 0.750
0.500 0.500 0.000
0.250 0.750 0.500
```

---

No. 2
Rb3CrPd: optimized geometry, GGA-PBE.

* density of states at the Fermi level: 0.09 states/eV per cell
* E_form: 650 meV per atom
* calculated density: 2.529 g/cm3
* total magnetic moment: 5.0 Bohr magnetons per cell
* uncorrected energy: -2.89 eV/atom

The structure in POSCAR format:
```
Rb3CrPd
1.0
-1.701 -0.482 -6.236
1.786 -6.231 -0.005
-5.995 -1.720 1.768
Rb Pd Cr
3 1 1
Direct
0.000 0.000 0.500
0.000 0.500 0.000
0.500 0.000 0.000
0.000 0.000 0.000
0.500 0.500 0.500
```

---

No. 3
RbCr3Pd: optimized geometry, GGA-PBE.

* density of states at the Fermi level: 4.07 states/eV per cell
* E_form: 2916 meV per atom
* calculated density: 6.956 g/cm3
* total magnetic moment: 0.0 Bohr magnetons per cell
* uncorrected energy: -4.09 eV/atom

The structure in POSCAR format:
```
RbCr3Pd
1.0
4.363 0.000 0.000
0.000 4.363 0.000
0.000 0.000 4.363
Cr Rb Pd
3 1 1
Direct
0.000 0.000 0.500
0.000 0.500 0.000
0.500 0.000 0.000
0.000 0.000 0.000
0.500 0.500 0.500
```

---

No. 4
RbCrPd2: optimized geometry, GGA-PBE.

* density of states at the Fermi level: 9.03 states/eV per cell
* E_form: 1146 meV per atom
* calculated density: 7.297 g/cm3
* total magnetic moment: 1.0 Bohr magnetons per cell
* uncorrected energy: -4.10 eV/atom

The structure in POSCAR format:
```
RbCrPd2
1.0
0.000 3.416 3.416
3.416 0.000 3.416
3.416 3.416 0.000
Pd Cr Rb
2 1 1
Direct
0.250 0.250 0.250
0.750 0.750 0.750
0.000 0.000 0.000
0.500 0.500 0.500
```

---

No. 5
RbCr3Pd: optimized geometry, GGA-PBE.

* density of states at the Fermi level: 4.82 states/eV per cell
* E_form: 1144 meV per atom
* calculated density: 4.215 g/cm3
* total magnetic moment: 13.7 Bohr magnetons per cell
* uncorrected energy: -5.86 eV/atom

The structure in POSCAR format:
```
RbCr3Pd
1.0
5.156 0.000 0.000
0.000 5.156 0.000
0.000 0.000 5.156
Cr Rb Pd
3 1 1
Direct
0.000 0.500 0.000
0.000 0.000 0.500
0.500 0.000 0.000
0.500 0.500 0.500
0.000 0.000 0.000
```

---

No. 6
RbCr2Pd: optimized geometry, GGA-PBE.

* density of states at the Fermi level: 9.54 states/eV per cell
* E_form: 1835 meV per atom
* calculated density: 7.380 g/cm3
* total magnetic moment: 0.0 Bohr magnetons per cell
* uncorrected energy: -4.52 eV/atom

The structure in POSCAR format:
```
RbCr2Pd
1.0
0.000 3.217 3.217
3.217 0.000 3.217
3.217 3.217 0.000
Cr Pd Rb
2 1 1
Direct
0.750 0.750 0.750
0.250 0.250 0.250
0.500 0.500 0.500
0.000 0.000 0.000
```